No. 1
Compound: SbIrPt2
Source: Alexandria
Functional: PBE
Structure: relaxed

```
data_SbIrPt2
_chemical_formula_sum 'Sb2 Ir2 Pt4'
_space_group_name_H-M_alt 'C m m 2'
_space_group_IT_number 35
_cell_length_a 2.9047
_cell_length_b 5.0374
_cell_length_c 9.5382
_cell_angle_alpha 90.00
_cell_angle_beta 90.00
_cell_angle_gamma 90.00
loop_
_space_group_symop_operation_xyz
'x,y,z'
'-x,-y,z'
'-x,y,z'
'x,-y,z'
'x+1/2,y+1/2,z'
'-x+1/2,-y+1/2,z'
'-x+1/2,y+1/2,z'
'x+1/2,-y+1/2,z'
loop_
_atom_site_label
_atom_site_type_symbol
_atom_site_fract_x
_atom_site_fract_y
_atom_site_fract_z
_atom_site_occupancy
Sb1 Sb 0.0000 0.0000 0.0000 1
Ir1 Ir 0.0000 0.5000 0.2497 1
Pt1 Pt 0.0000 0.0000 0.4876 1
Pt2 Pt 0.0000 0.5000 0.7336 1
```

The final energy comes out at -5.905 eV per atom. The value obtained for the theoretical density is 16.756 Mg/m³. The volume comes out at 69.8 Å³/f.u. The value obtained for the magnetic moment is 0.0 μB/f.u.


No. 2
Compound: Pm12PrEr2
Source: Alexandria
Functional: PBE
Structure: relaxed

```
data_Pm12PrEr2
_chemical_formula_sum 'Pm48 Pr4 Er8'
_space_group_name_H-M_alt 'C 1 2/m 1'
_space_group_IT_number 12
_cell_length_a 7.2217
_cell_length_b 11.4377
_cell_length_c 24.8998
_cell_angle_alpha 90.00
_cell_angle_beta 94.10
_cell_angle_gamma 90.00
loop_
_space_group_symop_operation_xyz
'x,y,z'
'-x,-y,-z'
'-x,y,-z'
'x,-y,z'
'x+1/2,y+1/2,z'
'-x+1/2,-y+1/2,-z'
'-x+1/2,y+1/2,-z'
'x+1/2,-y+1/2,z'
loop_
_atom_site_label
_atom_site_type_symbol
_atom_site_fract_x
_atom_site_fract_y
_atom_site_fract_z
_atom_site_occupancy
Pm1 Pm 0.0171 0.2504 0.0731 1
Pm2 Pm 0.1151 0.2335 0.4447 1
Pm3 Pm 0.1172 0.5000 0.5745 1
Pm4 Pm 0.1521 0.0000 0.5831 1
Pm5 Pm 0.1684 0.2642 0.6711 1
Pm6 Pm 0.1989 0.2338 0.7973 1
Pm7 Pm 0.2147 0.5000 0.8514 1
Pm8 Pm 0.2175 0.0000 0.8698 1
Pr1 Pr 0.2492 0.5000 0.9921 1
Er1 Er 0.0590 0.0000 0.2754 1
Er2 Er 0.0769 0.5000 0.2734 1
```

The final energy comes out at -4.622 eV per atom. The value obtained for the theoretical density is 7.173 Mg/m³. The volume comes out at 512.9 Å³/f.u. The value obtained for the magnetic moment is 0.0 μB/f.u. The calculation puts the energy relative to the elements at 106 meV/atom.


No. 3
Compound: Sr6SbTe3Br2
Source: Alexandria
Functional: PBE
Structure: relaxed

```
data_Sr6SbTe3Br2
_chemical_formula_sum 'Sr12 Sb2 Te6 Br4'
_space_group_name_H-M_alt 'C 1 2/m 1'
_space_group_IT_number 12
_cell_length_a 8.1268
_cell_length_b 14.0616
_cell_length_c 8.1174
_cell_angle_alpha 90.00
_cell_angle_beta 109.25
_cell_angle_gamma 90.00
loop_
_space_group_symop_operation_xyz
'x,y,z'
'-x,-y,-z'
'-x,y,-z'
'x,-y,z'
'x+1/2,y+1/2,z'
'-x+1/2,-y+1/2,-z'
'-x+1/2,y+1/2,-z'
'x+1/2,-y+1/2,z'
loop_
_atom_site_label
_atom_site_type_symbol
_atom_site_fract_x
_atom_site_fract_y
_atom_site_fract_z
_atom_site_occupancy
Sr1 Sr 0.2362 0.0000 0.2438 1
Sr2 Sr 0.2454 0.1613 0.7511 1
Sb1 Sb 0.0000 0.0000 0.5000 1
Te1 Te 0.0000 0.1723 0.0000 1
Te2 Te 0.0000 0.5000 0.0000 1
Br1 Br 0.0000 0.3349 0.5000 1
```

The final energy comes out at -3.854 eV per atom. The value obtained for the theoretical density is 4.513 Mg/m³. The volume comes out at 437.9 Å³/f.u. The value obtained for the magnetic moment is 0.0 μB/f.u.


No. 4
Compound: NbHg
Source: Alexandria
Functional: PBE
Structure: relaxed

```
data_NbHg
_chemical_formula_sum 'Nb16 Hg16'
_space_group_name_H-M_alt 'F d d d'
_space_group_IT_number 70
_cell_length_a 8.0036
_cell_length_b 8.0047
_cell_length_c 10.7751
_cell_angle_alpha 90.00
_cell_angle_beta 90.00
_cell_angle_gamma 90.00
loop_
_space_group_symop_operation_xyz
'x,y,z'
'-x,-y,-z'
'-x+1/4,-y+1/4,z'
'x+1/4,y+1/4,-z'
'x,-y+1/4,-z+1/4'
'-x,y+1/4,z+1/4'
'-x+1/4,y,-z+1/4'
'x+1/4,-y,z+1/4'
'x,y+1/2,z+1/2'
'-x,-y+1/2,-z+1/2'
'-x+1/4,-y+3/4,z+1/2'
'x+1/4,y+3/4,-z+1/2'
'x,-y+3/4,-z+3/4'
'-x,y+3/4,z+3/4'
'-x+1/4,y+1/2,-z+3/4'
'x+1/4,-y+1/2,z+3/4'
'x+1/2,y,z+1/2'
'-x+1/2,-y,-z+1/2'
'-x+3/4,-y+1/4,z+1/2'
'x+3/4,y+1/4,-z+1/2'
'x+1/2,-y+1/4,-z+3/4'
'-x+1/2,y+1/4,z+3/4'
'-x+3/4,y,-z+3/4'
'x+3/4,-y,z+3/4'
'x+1/2,y+1/2,z'
'-x+1/2,-y+1/2,-z'
'-x+3/4,-y+3/4,z'
'x+3/4,y+3/4,-z'
'x+1/2,-y+3/4,-z+1/4'
'-x+1/2,y+3/4,z+1/4'
'-x+3/4,y+1/2,-z+1/4'
'x+3/4,-y+1/2,z+1/4'
loop_
_atom_site_label
_atom_site_type_symbol
_atom_site_fract_x
_atom_site_fract_y
_atom_site_fract_z
_atom_site_occupancy
Nb1 Nb 0.0314 0.3750 0.3750 1
Hg1 Hg 0.1250 0.2976 0.6250 1
```

The final energy comes out at -4.592 eV per atom. The value obtained for the theoretical density is 11.296 Mg/m³. The volume comes out at 43.1 Å³/f.u. The value obtained for the magnetic moment is 0.0 μB/f.u. The calculation puts the energy relative to the elements at 594 meV/atom.


No. 5
Compound: Si2TcOs
Source: Alexandria
Functional: PBE
Structure: relaxed

```
data_Si2TcOs
_chemical_formula_sum 'Si4 Tc2 Os2'
_space_group_name_H-M_alt 'C m m 2'
_space_group_IT_number 35
_cell_length_a 2.9249
_cell_length_b 4.6791
_cell_length_c 8.3036
_cell_angle_alpha 90.00
_cell_angle_beta 90.00
_cell_angle_gamma 90.00
loop_
_space_group_symop_operation_xyz
'x,y,z'
'-x,-y,z'
'-x,y,z'
'x,-y,z'
'x+1/2,y+1/2,z'
'-x+1/2,-y+1/2,z'
'-x+1/2,y+1/2,z'
'x+1/2,-y+1/2,z'
loop_
_atom_site_label
_atom_site_type_symbol
_atom_site_fract_x
_atom_site_fract_y
_atom_site_fract_z
_atom_site_occupancy
Si1 Si 0.0000 0.0000 0.0000 1
Si2 Si 0.0000 0.5000 0.2545 1
Tc1 Tc 0.0000 0.5000 0.7648 1
Os1 Os 0.0000 0.0000 0.4881 1
```

The final energy comes out at -7.811 eV per atom. The value obtained for the theoretical density is 10.065 Mg/m³. The polymorph energy (0 for the lowest one) comes out at 713 meV/atom. The volume comes out at 56.8 Å³/f.u. The value obtained for the magnetic moment is 0.0 μB/f.u.


No. 6
Compound: VAg2RhI
Source: Alexandria
Functional: PBE
Structure: relaxed

```
data_VAg2RhI
_chemical_formula_sum 'V1 Ag2 Rh1 I1'
_space_group_name_H-M_alt 'P 4/m m m'
_space_group_IT_number 123
_space_group_name_Hall '-P 4 2'
_cell_length_a 5.2468
_cell_length_b 5.2468
_cell_length_c 4.8670
_cell_angle_alpha 90.00
_cell_angle_beta 90.00
_cell_angle_gamma 90.00
loop_
_atom_site_label
_atom_site_type_symbol
_atom_site_fract_x
_atom_site_fract_y
_atom_site_fract_z
_atom_site_occupancy
V1 V 0.0000 0.0000 0.0000 1
Ag1 Ag 0.0000 0.5000 0.5000 1
Rh1 Rh 0.5000 0.5000 0.0000 1
I1 I 0.5000 0.5000 0.5000 1
```

The final energy comes out at -3.377 eV per atom. The value obtained for the theoretical density is 6.153 Mg/m³. The volume comes out at 134.0 Å³/f.u. The value obtained for the magnetic moment is 4.1 μB/f.u.


No. 7
Compound: Ba2Ag3Bi4Pb
Source: Alexandria
Functional: PBE
Structure: relaxed

```
data_Ba2Ag3Bi4Pb
_chemical_formula_sum 'Ba2 Ag3 Bi4 Pb1'
_space_group_name_H-M_alt 'P -4 m 2'
_space_group_IT_number 115
_cell_length_a 5.0906
_cell_length_b 5.0906
_cell_length_c 12.5470
_cell_angle_alpha 90.00
_cell_angle_beta 90.00
_cell_angle_gamma 90.00
loop_
_space_group_symop_operation_xyz
'x,y,z'
'y,-x,-z'
'-x,-y,z'
'-y,x,-z'
'-x,y,z'
'-y,-x,-z'
'x,-y,z'
'y,x,-z'
loop_
_atom_site_label
_atom_site_type_symbol
_atom_site_fract_x
_atom_site_fract_y
_atom_site_fract_z
_atom_site_occupancy
Ba1 Ba 0.0000 0.5000 0.2383 1
Ag1 Ag 0.0000 0.5000 0.8763 1
Ag2 Ag 0.5000 0.5000 0.5000 1
Bi1 Bi 0.0000 0.0000 0.0000 1
Bi2 Bi 0.0000 0.5000 0.6497 1
Bi3 Bi 0.5000 0.5000 0.0000 1
Pb1 Pb 0.0000 0.0000 0.5000 1
```

The final energy comes out at -3.528 eV per atom. The value obtained for the theoretical density is 8.383 Mg/m³. The volume comes out at 325.1 Å³/f.u. The value obtained for the magnetic moment is 0.0 μB/f.u. The calculation puts the energy relative to the elements at -365 meV/atom.


No. 8
Compound: Rb3ReC
Source: Alexandria
Functional: PBE
Structure: relaxed

```
data_Rb3ReC
_chemical_formula_sum 'Rb3 Re1 C1'
_space_group_name_H-M_alt 'P m -3 m'
_space_group_IT_number 221
_space_group_name_Hall '-P 4 2 3'
_cell_length_a 6.0192
_cell_length_b 6.0192
_cell_length_c 6.0192
_cell_angle_alpha 90.00
_cell_angle_beta 90.00
_cell_angle_gamma 90.00
loop_
_atom_site_label
_atom_site_type_symbol
_atom_site_fract_x
_atom_site_fract_y
_atom_site_fract_z
_atom_site_occupancy
Rb1 Rb 0.0000 0.0000 0.5000 1
Re1 Re 0.5000 0.5000 0.5000 1
C1 C 0.0000 0.0000 0.0000 1
```

The final energy comes out at -2.809 eV per atom. The value obtained for the theoretical density is 3.462 Mg/m³. The polymorph energy (0 for the lowest one) comes out at 0 meV/atom. The volume comes out at 218.1 Å³/f.u. The value obtained for the magnetic moment is 6.0 μB/f.u. The calculation puts the energy relative to the elements at 2106 meV/atom.


No. 9
Compound: Cs2RbPb2Br7
Source: Alexandria
Functional: PBE
Structure: relaxed

```
data_Cs2RbPb2Br7
_chemical_formula_sum 'Cs4 Rb2 Pb4 Br14'
_space_group_name_H-M_alt 'C 1 2/m 1'
_space_group_IT_number 12
_cell_length_a 8.4568
_cell_length_b 8.4541
_cell_length_c 15.5709
_cell_angle_alpha 90.00
_cell_angle_beta 105.70
_cell_angle_gamma 90.00
loop_
_space_group_symop_operation_xyz
'x,y,z'
'-x,-y,-z'
'-x,y,-z'
'x,-y,z'
'x+1/2,y+1/2,z'
'-x+1/2,-y+1/2,-z'
'-x+1/2,y+1/2,-z'
'x+1/2,-y+1/2,z'
loop_
_atom_site_label
_atom_site_type_symbol
_atom_site_fract_x
_atom_site_fract_y
_atom_site_fract_z
_atom_site_occupancy
Cs1 Cs 0.1845 0.0000 0.3601 1
Rb1 Rb 0.0000 0.0000 0.0000 1
Pb1 Pb 0.1017 0.5000 0.2024 1
Br1 Br 0.0000 0.5000 0.0000 1
Br2 Br 0.1526 0.2489 0.8084 1
Br3 Br 0.1950 0.5000 0.4008 1
```

The final energy comes out at -3.170 eV per atom. The value obtained for the theoretical density is 4.106 Mg/m³. The volume comes out at 535.8 Å³/f.u. The value obtained for the magnetic moment is 0.0 μB/f.u.


Q: Number 2 is which compound?
A: Pm12PrEr2